A relaxed structure of MgScTc2Au, computed with GGA-PBE.

Properties
The value obtained for the calculated formation energy is 1133 meV/atom. The total energy comes out at -5.254 eV/atom. As for the symmetry: P4/mmm (123). The total magnetic moment is 0.98 μB/cell.

abc: 4.5967 4.6285 4.5967
angles: 90.00 90.00 90.00
Site moments in Bohr magnetons follow the coordinates.
Sites, in units of the cell vectors:
Sc (0.5000, 0.5000, 0.5000)  -0.01
Mg (0.0000, 0.0000, 0.0000)  0.00
Au (0.0000, 0.5000, 0.0000)  0.00
Tc (0.0000, 0.0000, 0.5000)  0.48
Tc (0.5000, 0.0000, 0.0000)  0.43